Nd2DyHoSc4 after structural relaxation, computed with GGA-PBE.

Structure (CIF):
```
data_Nd2DyHoSc4
_chemical_formula_sum 'Nd2 Dy1 Ho1 Sc4'
_space_group_name_H-M_alt 'P 1 2/m 1'
_space_group_IT_number 10
_cell_length_a 5.9717
_cell_length_b 3.4540
_cell_length_c 11.1972
_cell_angle_alpha 90.00
_cell_angle_beta 100.17
_cell_angle_gamma 90.00
loop_
_space_group_symop_operation_xyz
'x,y,z'
'-x,-y,-z'
'-x,y,-z'
'x,-y,z'
loop_
_atom_site_label
_atom_site_type_symbol
_atom_site_fract_x
_atom_site_fract_y
_atom_site_fract_z
Nd1 Nd 0.0000 0.0000 0.0000
Nd2 Nd 0.0000 0.5000 0.5000
Dy1 Dy 0.5000 0.0000 0.5000
Ho1 Ho 0.5000 0.5000 0.0000
Sc1 Sc 0.2511 0.0000 0.7503
Sc2 Sc 0.2518 0.5000 0.2500
```

VASP energy in eV/atom: -5.440
Volume in Å³ per cell: 227
DOS(E_F) in states/eV per atom: 1.35
Formation energy in eV/atom: 0.0648

NdDyHo2Sc2 after structural relaxation, computed with GGA-PBE.

Structure (CIF):
```
data_NdDyHo2Sc2
_chemical_formula_sum 'Nd2 Dy2 Ho4 Sc4'
_space_group_name_H-M_alt 'P n n m'
_space_group_IT_number 58
_cell_length_a 6.2739
_cell_length_b 17.4180
_cell_length_c 3.3449
_cell_angle_alpha 90.00
_cell_angle_beta 90.00
_cell_angle_gamma 90.00
loop_
_space_group_symop_operation_xyz
'x,y,z'
'-x,-y,-z'
'-x,-y,z'
'x,y,-z'
'x+1/2,-y+1/2,-z+1/2'
'-x+1/2,y+1/2,z+1/2'
'-x+1/2,y+1/2,-z+1/2'
'x+1/2,-y+1/2,z+1/2'
loop_
_atom_site_label
_atom_site_type_symbol
_atom_site_fract_x
_atom_site_fract_y
_atom_site_fract_z
Nd1 Nd 0.0000 0.0000 0.0000
Dy1 Dy 0.0000 0.5000 0.0000
Ho1 Ho 0.2194 0.1923 0.0000
Sc1 Sc 0.2164 0.3540 0.5000
```

VASP energy in eV/atom: -4.919
Volume in Å³ per cell: 366
DOS(E_F) in states/eV per atom: 1.71
Formation energy in eV/atom: 0.2793

Nd2Dy6HoSc3 after structural relaxation, computed with GGA-PBE.

Structure (CIF):
```
data_Nd2Dy6HoSc3
_chemical_formula_sum 'Nd4 Dy12 Ho2 Sc6'
_space_group_name_H-M_alt 'C 1 2/m 1'
_space_group_IT_number 12
_cell_length_a 6.0750
_cell_length_b 10.5214
_cell_length_c 11.5210
_cell_angle_alpha 90.00
_cell_angle_beta 100.12
_cell_angle_gamma 90.00
loop_
_space_group_symop_operation_xyz
'x,y,z'
'-x,-y,-z'
'-x,y,-z'
'x,-y,z'
'x+1/2,y+1/2,z'
'-x+1/2,-y+1/2,-z'
'-x+1/2,y+1/2,-z'
'x+1/2,-y+1/2,z'
loop_
_atom_site_label
_atom_site_type_symbol
_atom_site_fract_x
_atom_site_fract_y
_atom_site_fract_z
Nd1 Nd 0.0000 0.1667 0.0000
Dy1 Dy 0.2454 0.5000 0.7386
Dy2 Dy 0.2464 0.1664 0.7385
Ho1 Ho 0.0000 0.5000 0.0000
Sc1 Sc 0.0000 0.0000 0.5000
Sc2 Sc 0.0000 0.3337 0.5000
```

VASP energy in eV/atom: -5.014
Volume in Å³ per cell: 725
DOS(E_F) in states/eV per atom: 1.44
Formation energy in eV/atom: 0.0460

NdDyHoSc after structural relaxation, computed with GGA-PBE.

Structure (CIF):
```
data_NdDyHoSc
_chemical_formula_sum 'Nd2 Dy2 Ho2 Sc2'
_space_group_name_H-M_alt 'C 1 m 1'
_space_group_IT_number 8
_cell_length_a 12.1269
_cell_length_b 5.6428
_cell_length_c 3.7760
_cell_angle_alpha 90.00
_cell_angle_beta 108.12
_cell_angle_gamma 90.00
loop_
_space_group_symop_operation_xyz
'x,y,z'
'x,-y,z'
'x+1/2,y+1/2,z'
'x+1/2,-y+1/2,z'
loop_
_atom_site_label
_atom_site_type_symbol
_atom_site_fract_x
_atom_site_fract_y
_atom_site_fract_z
Nd1 Nd 0.0000 0.0000 0.0000
Dy1 Dy 0.2300 0.5000 0.2231
Ho1 Ho 0.2685 0.0000 0.7613
Sc1 Sc 0.4987 0.0000 0.4941
```

VASP energy in eV/atom: -4.975
Polymorph energy (0 for the lowest one) in meV per atom: 0.0
Volume in Å³ per cell: 246
DOS(E_F) in states/eV per atom: 1.70
Formation energy in eV/atom: 0.0949

NdDy2HoSe4 after structural relaxation, computed with GGA-PBE.

Structure (CIF):
```
data_NdDy2HoSe4
_chemical_formula_sum 'Nd1 Dy2 Ho1 Se4'
_space_group_name_H-M_alt 'P 1 2/m 1'
_space_group_IT_number 10
_cell_length_a 7.1055
_cell_length_b 4.0526
_cell_length_c 7.2049
_cell_angle_alpha 90.00
_cell_angle_beta 108.76
_cell_angle_gamma 90.00
loop_
_space_group_symop_operation_xyz
'x,y,z'
'-x,-y,-z'
'-x,y,-z'
'x,-y,z'
loop_
_atom_site_label
_atom_site_type_symbol
_atom_site_fract_x
_atom_site_fract_y
_atom_site_fract_z
Nd1 Nd 0.0000 0.0000 0.0000
Dy1 Dy 0.5000 0.0000 0.5000
Dy2 Dy 0.5000 0.5000 0.0000
Ho1 Ho 0.0000 0.5000 0.5000
Se1 Se 0.2531 0.0000 0.7439
Se2 Se 0.2587 0.5000 0.2601
```

VASP energy in eV/atom: -5.819
Volume in Å³ per cell: 196
DOS(E_F) in states/eV per atom: 0.58

NdDy2Ho3Se6 after structural relaxation, computed with GGA-PBE.

Structure (CIF):
```
data_NdDy2Ho3Se6
_chemical_formula_sum 'Nd2 Dy4 Ho6 Se12'
_space_group_name_H-M_alt 'C 1 2/m 1'
_space_group_IT_number 12
_cell_length_a 7.0528
_cell_length_b 12.2794
_cell_length_c 7.1098
_cell_angle_alpha 90.00
_cell_angle_beta 109.36
_cell_angle_gamma 90.00
loop_
_space_group_symop_operation_xyz
'x,y,z'
'-x,-y,-z'
'-x,y,-z'
'x,-y,z'
'x+1/2,y+1/2,z'
'-x+1/2,-y+1/2,-z'
'-x+1/2,y+1/2,-z'
'x+1/2,-y+1/2,z'
loop_
_atom_site_label
_atom_site_type_symbol
_atom_site_fract_x
_atom_site_fract_y
_atom_site_fract_z
Nd1 Nd 0.0000 0.0000 0.0000
Dy1 Dy 0.0000 0.3346 0.0000
Ho1 Ho 0.0000 0.1601 0.5000
Ho2 Ho 0.0000 0.5000 0.5000
Se1 Se 0.2421 0.5000 0.2532
Se2 Se 0.2428 0.3284 0.7419
```

VASP energy in eV/atom: -5.803
Volume in Å³ per cell: 581
DOS(E_F) in states/eV per atom: 0.44

NdDy3Ho3Se8 after structural relaxation, computed with GGA-PBE.

Structure (CIF):
```
data_NdDy3Ho3Se8
_chemical_formula_sum 'Nd3 Dy9 Ho9 Se24'
_space_group_name_H-M_alt 'R -3 m'
_space_group_IT_number 166
_space_group_name_Hall '-R 3 2"'
_cell_length_a 8.1223
_cell_length_b 8.1223
_cell_length_c 19.8950
_cell_angle_alpha 90.00
_cell_angle_beta 90.00
_cell_angle_gamma 120.00
loop_
_atom_site_label
_atom_site_type_symbol
_atom_site_fract_x
_atom_site_fract_y
_atom_site_fract_z
Nd1 Nd 0.0000 0.0000 0.0000
Dy1 Dy 0.0000 0.5000 0.5000
Ho1 Ho 0.0000 0.5000 0.0000
Se1 Se 0.0000 0.0000 0.2506
Se2 Se 0.0145 0.5072 0.2470
```

VASP energy in eV/atom: -5.831
Volume in Å³ per cell: 1137
DOS(E_F) in states/eV per atom: 0.39

Nd3DyHo2Se6 after structural relaxation, computed with GGA-PBE.

Structure (CIF):
```
data_Nd3DyHo2Se6
_chemical_formula_sum 'Nd6 Dy2 Ho4 Se12'
_space_group_name_H-M_alt 'C 1 2/m 1'
_space_group_IT_number 12
_cell_length_a 7.0936
_cell_length_b 12.3560
_cell_length_c 7.3015
_cell_angle_alpha 90.00
_cell_angle_beta 109.04
_cell_angle_gamma 90.00
loop_
_space_group_symop_operation_xyz
'x,y,z'
'-x,-y,-z'
'-x,y,-z'
'x,-y,z'
'x+1/2,y+1/2,z'
'-x+1/2,-y+1/2,-z'
'-x+1/2,y+1/2,-z'
'x+1/2,-y+1/2,z'
loop_
_atom_site_label
_atom_site_type_symbol
_atom_site_fract_x
_atom_site_fract_y
_atom_site_fract_z
Nd1 Nd 0.0000 0.0000 0.0000
Nd2 Nd 0.0000 0.3340 0.0000
Dy1 Dy 0.0000 0.5000 0.5000
Ho1 Ho 0.0000 0.1665 0.5000
Se1 Se 0.2433 0.0000 0.7339
Se2 Se 0.2452 0.3327 0.7343
```

VASP energy in eV/atom: -5.873
Volume in Å³ per cell: 605
DOS(E_F) in states/eV per atom: 0.47

Nd3Dy2HoSe6 after structural relaxation, computed with GGA-PBE.

Structure (CIF):
```
data_Nd3Dy2HoSe6
_chemical_formula_sum 'Nd6 Dy4 Ho2 Se12'
_space_group_name_H-M_alt 'C 1 2/m 1'
_space_group_IT_number 12
_cell_length_a 7.1045
_cell_length_b 12.3752
_cell_length_c 7.2972
_cell_angle_alpha 90.00
_cell_angle_beta 109.08
_cell_angle_gamma 90.00
loop_
_space_group_symop_operation_xyz
'x,y,z'
'-x,-y,-z'
'-x,y,-z'
'x,-y,z'
'x+1/2,y+1/2,z'
'-x+1/2,-y+1/2,-z'
'-x+1/2,y+1/2,-z'
'x+1/2,-y+1/2,z'
loop_
_atom_site_label
_atom_site_type_symbol
_atom_site_fract_x
_atom_site_fract_y
_atom_site_fract_z
Nd1 Nd 0.0000 0.0000 0.0000
Nd2 Nd 0.0000 0.3324 0.0000
Dy1 Dy 0.0000 0.1667 0.5000
Ho1 Ho 0.0000 0.5000 0.5000
Se1 Se 0.2441 0.3340 0.7346
Se2 Se 0.2463 0.0000 0.7355
```

VASP energy in eV/atom: -5.879
Volume in Å³ per cell: 606
DOS(E_F) in states/eV per atom: 0.47

NdDyHo4Se8 after structural relaxation, computed with GGA-PBE.

Structure (CIF):
```
data_NdDyHo4Se8
_chemical_formula_sum 'Nd3 Dy3 Ho12 Se24'
_space_group_name_H-M_alt 'R 3 m'
_space_group_IT_number 160
_space_group_name_Hall 'R 3 -2"'
_cell_length_a 8.4350
_cell_length_b 8.4350
_cell_length_c 20.6913
_cell_angle_alpha 90.00
_cell_angle_beta 90.00
_cell_angle_gamma 120.00
loop_
_atom_site_label
_atom_site_type_symbol
_atom_site_fract_x
_atom_site_fract_y
_atom_site_fract_z
Nd1 Nd 0.0000 0.0000 0.0000
Dy1 Dy 0.0000 0.0000 0.3753
Ho1 Ho 0.0000 0.0000 0.7495
Ho2 Ho 0.1678 0.3356 0.2076
Se1 Se 0.0000 0.0000 0.1360
Se2 Se 0.0000 0.0000 0.6175
Se3 Se 0.0179 0.5089 0.1273
Se4 Se 0.1810 0.3620 0.9538
```

VASP energy in eV/atom: -5.676
Volume in Å³ per cell: 1275
DOS(E_F) in states/eV per atom: 0.63

Which value of DOS(E_F) does entry 2 give? 1.71 states/eV per atom